No. 1
BaMnHg2: relaxed, PBE.

Calculated values
The value obtained for the density of states at the Fermi level is 3.62 states/eV/f.u. The calculated formation energy comes out at -0.060 eV/atom. Its symmetry is R-3m. For the calculated total energy, the calculation gives -2.984 eV/atom.

CIF file:
```
data_BaMnHg2
_cell_length_a 4.7988
_cell_length_b 4.7988
_cell_length_c 17.7724
_cell_angle_alpha 90.00
_cell_angle_beta 90.00
_cell_angle_gamma 120.00
_symmetry_space_group_name_H-M 'P 1'
_symmetry_Int_Tables_number 1
loop_
_symmetry_equiv_pos_as_xyz
'x,y,z'
loop_
_atom_site_label
_atom_site_fract_x
_atom_site_fract_y
_atom_site_fract_z
Ba1 0.0000 0.0000 0.0000
Ba2 0.3333 0.6667 0.6667
Ba3 0.6667 0.3333 0.3333
Mn1 0.0000 0.0000 0.5000
Mn2 0.3333 0.6667 0.1667
Mn3 0.6667 0.3333 0.8333
Hg1 0.0000 0.0000 0.2065
Hg2 0.0000 0.0000 0.7935
Hg3 0.3333 0.6667 0.4601
Hg4 0.3333 0.6667 0.8732
Hg5 0.6667 0.3333 0.1268
Hg6 0.6667 0.3333 0.5399
```

***

No. 2
TaZn2Rh: relaxed, PBE.

Calculated values
The value obtained for the density of states at the Fermi level is 2.10 states/eV/f.u. The calculated formation energy comes out at 0.255 eV/atom. Its symmetry is I-42d. For the calculated total energy, the calculation gives -5.183 eV/atom.

CIF file:
```
data_TaZn2Rh
_cell_length_a 7.1117
_cell_length_b 7.1117
_cell_length_c 5.1688
_cell_angle_alpha 90.00
_cell_angle_beta 90.00
_cell_angle_gamma 90.00
_symmetry_space_group_name_H-M 'P 1'
_symmetry_Int_Tables_number 1
loop_
_symmetry_equiv_pos_as_xyz
'x,y,z'
loop_
_atom_site_label
_atom_site_fract_x
_atom_site_fract_y
_atom_site_fract_z
Ta1 0.0000 0.0000 0.0000
Ta2 0.0000 0.5000 0.2500
Ta3 0.5000 0.0000 0.7500
Ta4 0.5000 0.5000 0.5000
Zn1 0.2319 0.2500 0.6250
Zn2 0.2500 0.7319 0.8750
Zn3 0.2500 0.7681 0.3750
Zn4 0.2681 0.2500 0.1250
Zn5 0.7319 0.7500 0.1250
Zn6 0.7500 0.2319 0.3750
Zn7 0.7500 0.2681 0.8750
Zn8 0.7681 0.7500 0.6250
Rh1 0.0000 0.0000 0.5000
Rh2 0.0000 0.5000 0.7500
Rh3 0.5000 0.0000 0.2500
Rh4 0.5000 0.5000 0.0000
```

***

No. 3
HoPu2Mn: relaxed, PBE.

Calculated values
The value obtained for the density of states at the Fermi level is 14.51 states/eV/f.u. The value obtained for the excess energy over the best structure of this formula in the dataset is 0.266 eV per atom. The calculated formation energy comes out at 0.401 eV/atom. Its symmetry is P4/mmm. For the calculated total energy, the calculation gives -10.202 eV/atom.

CIF file:
```
data_HoPu2Mn
_cell_length_a 4.3121
_cell_length_b 4.3121
_cell_length_c 5.1492
_cell_angle_alpha 90.00
_cell_angle_beta 90.00
_cell_angle_gamma 90.00
_symmetry_space_group_name_H-M 'P 1'
_symmetry_Int_Tables_number 1
loop_
_symmetry_equiv_pos_as_xyz
'x,y,z'
loop_
_atom_site_label
_atom_site_fract_x
_atom_site_fract_y
_atom_site_fract_z
Ho1 0.0000 0.0000 0.0000
Pu1 0.0000 0.5000 0.5000
Pu2 0.5000 0.0000 0.5000
Mn1 0.5000 0.5000 0.0000
```

***

No. 4
Tb6Pr2Tm5: relaxed, PBE.

Calculated values
The value obtained for the density of states at the Fermi level is 16.47 states/eV/f.u. The calculated formation energy comes out at 0.102 eV/atom. Its symmetry is Pbam. For the calculated total energy, the calculation gives -4.490 eV/atom.

CIF file:
```
data_Tb6Pr2Tm5
_cell_length_a 11.7041
_cell_length_b 20.1255
_cell_length_c 3.5856
_cell_angle_alpha 90.00
_cell_angle_beta 90.00
_cell_angle_gamma 90.00
_symmetry_space_group_name_H-M 'P 1'
_symmetry_Int_Tables_number 1
loop_
_symmetry_equiv_pos_as_xyz
'x,y,z'
loop_
_atom_site_label
_atom_site_fract_x
_atom_site_fract_y
_atom_site_fract_z
Tb1 0.0582 0.0774 0.0000
Tb2 0.0797 0.3648 0.0000
Tb3 0.1779 0.6242 0.5000
Tb4 0.3221 0.1242 0.5000
Tb5 0.4203 0.8648 0.0000
Tb6 0.4418 0.5774 0.0000
Tb7 0.5582 0.4226 0.0000
Tb8 0.5797 0.1352 0.0000
Tb9 0.6779 0.8758 0.5000
Tb10 0.8221 0.3758 0.5000
Tb11 0.9203 0.6352 0.0000
Tb12 0.9418 0.9226 0.0000
Pr1 0.1647 0.7831 0.0000
Pr2 0.3353 0.2831 0.0000
Pr3 0.6647 0.7169 0.0000
Pr4 0.8353 0.2169 0.0000
Tm1 0.0000 0.5000 0.5000
Tm2 0.0960 0.2212 0.5000
Tm3 0.1996 0.9476 0.5000
Tm4 0.3004 0.4476 0.5000
Tm5 0.4040 0.7212 0.5000
Tm6 0.5000 0.0000 0.5000
Tm7 0.5960 0.2788 0.5000
Tm8 0.6996 0.5524 0.5000
Tm9 0.8004 0.0524 0.5000
Tm10 0.9040 0.7788 0.5000
```

***

No. 5
Rb3Ho3TcO8: relaxed, PBE.

Calculated values
The value obtained for the raw formation energy is -2.46 eV/atom. Its symmetry is R-3m. For the calculated total energy, the calculation gives -6.904 eV/atom.

CIF file:
```
data_Rb3Ho3TcO8
_cell_length_a 7.6676
_cell_length_b 7.6676
_cell_length_c 7.6676
_cell_angle_alpha 52.49
_cell_angle_beta 52.49
_cell_angle_gamma 52.49
_symmetry_space_group_name_H-M 'P 1'
_symmetry_Int_Tables_number 1
loop_
_symmetry_equiv_pos_as_xyz
'x,y,z'
loop_
_atom_site_label
_atom_site_fract_x
_atom_site_fract_y
_atom_site_fract_z
Rb1 0.0000 0.5000 0.5000
Rb2 0.5000 0.0000 0.5000
Rb3 0.5000 0.5000 0.0000
Ho1 0.0000 0.0000 0.5000
Ho2 0.0000 0.5000 0.0000
Ho3 0.5000 0.0000 0.0000
Tc1 0.5000 0.5000 0.5000
O1 0.2236 0.2236 0.2236
O2 0.2462 0.7089 0.7089
O3 0.2911 0.2911 0.7538
O4 0.2911 0.7538 0.2911
O5 0.7089 0.2462 0.7089
O6 0.7089 0.7089 0.2462
O7 0.7538 0.2911 0.2911
O8 0.7764 0.7764 0.7764
```

***

No. 6
Ca2LaNi: relaxed, PBE.

Calculated values
The value obtained for the density of states at the Fermi level is 4.48 states/eV/f.u. The value obtained for the excess energy over the best structure of this formula in the dataset is 0.043 eV per atom. The calculated formation energy comes out at -0.077 eV/atom. Its symmetry is R3m. For the calculated total energy, the calculation gives -3.755 eV/atom.

CIF file:
```
data_Ca2LaNi
_cell_length_a 3.9873
_cell_length_b 3.9873
_cell_length_c 30.0314
_cell_angle_alpha 90.00
_cell_angle_beta 90.00
_cell_angle_gamma 120.00
_symmetry_space_group_name_H-M 'P 1'
_symmetry_Int_Tables_number 1
loop_
_symmetry_equiv_pos_as_xyz
'x,y,z'
loop_
_atom_site_label
_atom_site_fract_x
_atom_site_fract_y
_atom_site_fract_z
Ca1 0.0000 0.0000 0.0000
Ca2 0.0000 0.0000 0.2220
Ca3 0.3333 0.6667 0.6667
Ca4 0.3333 0.6667 0.8887
Ca5 0.6667 0.3333 0.3333
Ca6 0.6667 0.3333 0.5553
La1 0.0000 0.0000 0.4409
La2 0.3333 0.6667 0.1076
La3 0.6667 0.3333 0.7742
Ni1 0.0000 0.0000 0.7251
Ni2 0.3333 0.6667 0.3917
Ni3 0.6667 0.3333 0.0584
```

***

No. 7
ScAlRu: relaxed, PBE.

Calculated values
The value obtained for the density of states at the Fermi level is 0.22 states/eV/f.u. The calculated formation energy comes out at -0.650 eV/atom. Its symmetry is I4mm. For the calculated total energy, the calculation gives -7.100 eV/atom.

CIF file:
```
data_ScAlRu
_cell_length_a 3.2226
_cell_length_b 3.2226
_cell_length_c 9.5610
_cell_angle_alpha 90.00
_cell_angle_beta 90.00
_cell_angle_gamma 90.00
_symmetry_space_group_name_H-M 'P 1'
_symmetry_Int_Tables_number 1
loop_
_symmetry_equiv_pos_as_xyz
'x,y,z'
loop_
_atom_site_label
_atom_site_fract_x
_atom_site_fract_y
_atom_site_fract_z
Sc1 0.0000 0.0000 0.0000
Sc2 0.5000 0.5000 0.5000
Al1 0.0000 0.0000 0.2983
Al2 0.5000 0.5000 0.7983
Ru1 0.0000 0.0000 0.6673
Ru2 0.5000 0.5000 0.1673
```

***

No. 8
ScNi6B4: relaxed, PBE.

Calculated values
The value obtained for the density of states at the Fermi level is 4.50 states/eV/f.u. The calculated formation energy comes out at -0.336 eV/atom. Its symmetry is I-42m. For the calculated total energy, the calculation gives -6.493 eV/atom.

CIF file:
```
data_ScNi6B4
_cell_length_a 5.3720
_cell_length_b 5.3720
_cell_length_c 5.3720
_cell_angle_alpha 121.80
_cell_angle_beta 121.80
_cell_angle_gamma 86.91
_symmetry_space_group_name_H-M 'P 1'
_symmetry_Int_Tables_number 1
loop_
_symmetry_equiv_pos_as_xyz
'x,y,z'
loop_
_atom_site_label
_atom_site_fract_x
_atom_site_fract_y
_atom_site_fract_z
Sc1 0.0000 0.0000 0.0000
Ni1 0.0000 0.5000 0.5000
Ni2 0.0786 0.4823 0.0000
Ni3 0.4823 0.0786 0.0000
Ni4 0.5000 0.0000 0.5000
Ni5 0.5177 0.5177 0.5963
Ni6 0.9214 0.9214 0.4037
B1 0.2942 0.2942 0.7249
B2 0.4307 0.7058 0.0000
B3 0.5693 0.5693 0.2751
B4 0.7058 0.4307 0.0000
```

***

No. 9
K2Ca2Cr: relaxed, PBE.

Calculated values
The value obtained for the density of states at the Fermi level is 5.73 states/eV/f.u. The value obtained for the excess energy over the best structure of this formula in the dataset is 0.000 eV per atom. The calculated formation energy comes out at 0.559 eV/atom. Its symmetry is P4/mbm. For the calculated total energy, the calculation gives -2.605 eV/atom.

CIF file:
```
data_K2Ca2Cr
_cell_length_a 8.2754
_cell_length_b 8.2754
_cell_length_c 6.9558
_cell_angle_alpha 90.00
_cell_angle_beta 90.00
_cell_angle_gamma 90.00
_symmetry_space_group_name_H-M 'P 1'
_symmetry_Int_Tables_number 1
loop_
_symmetry_equiv_pos_as_xyz
'x,y,z'
loop_
_atom_site_label
_atom_site_fract_x
_atom_site_fract_y
_atom_site_fract_z
K1 0.1791 0.3209 0.0000
K2 0.3209 0.8209 0.0000
K3 0.6791 0.1791 0.0000
K4 0.8209 0.6791 0.0000
Ca1 0.1623 0.6623 0.5000
Ca2 0.3377 0.1623 0.5000
Ca3 0.6623 0.8377 0.5000
Ca4 0.8377 0.3377 0.5000
Cr1 0.0000 0.0000 0.5000
Cr2 0.5000 0.5000 0.5000
```

***

Number 1: mass density 8.3 Mg/m³. Number 2: mass density 10.5 Mg/m³. Number 3: mass density 12.3 Mg/m³. Number 4: mass density 8.2 Mg/m³. Number 5: mass density 6.2 Mg/m³. Number 6: mass density 3.3 Mg/m³. Number 7: mass density 5.8 Mg/m³. Number 8: mass density 6.9 Mg/m³. Number 9: mass density 1.5 Mg/m³.